Run i
{"formula": "Na2TeI2", "functional": "PBE", "state": "optimized geometry", "lattice": [[9.091, 0.000, 0.000], [0.000, 9.091, 0.000], [0.000, 0.000, 4.196]], "species": ["I", "I", "I", "I", "Na", "Na", "Na", "Na", "Te", "Te"], "fractional_positions": [[0.344, 0.844, 0.000], [0.844, 0.656, 0.000], [0.656, 0.156, 0.000], [0.156, 0.344, 0.000], [0.159, 0.659, 0.500], [0.659, 0.841, 0.500], [0.841, 0.341, 0.500], [0.341, 0.159, 0.500], [0.000, 0.000, 0.000], [0.500, 0.500, 0.000]], "m_tot_mub_per_fu": 0.0, "space_group": "P4/mbm", "dos_at_fermi_per_ev_cell": 4.3, "crystal_system": "tetragonal"}

***

Run ii
{"formula": "Na2TeI2", "functional": "PBE", "state": "optimized geometry", "lattice": [[6.224, 0.000, 0.000], [0.000, 6.224, 0.000], [3.112, 3.112, 4.928]], "species": ["I", "I", "Na", "Na", "Te"], "fractional_positions": [[0.309, 0.309, 0.382], [0.691, 0.691, 0.618], [0.750, 0.250, 0.500], [0.250, 0.750, 0.500], [0.000, 0.000, 0.000]], "m_tot_mub_per_fu": 0.0, "space_group": "I4/mmm", "dos_at_fermi_per_ev_cell": 0.0, "crystal_system": "tetragonal"}

***

Winner for stability: run ii

***

Run i
{"formula": "NaVTeI2", "functional": "PBE", "state": "optimized geometry", "lattice": [[5.681, 0.000, 0.000], [0.000, 5.681, 0.000], [0.000, 0.000, 5.831]], "species": ["I", "I", "Na", "Te", "V"], "fractional_positions": [[0.000, 0.500, 0.000], [0.500, 0.000, 0.000], [0.000, 0.000, 0.000], [0.000, 0.000, 0.500], [0.500, 0.500, 0.500]], "m_tot_mub_per_fu": 2.0, "space_group": "P4/mmm", "dos_at_fermi_per_ev_cell": 11.1, "crystal_system": "tetragonal"}

***

Run ii
{"formula": "NaVTeI2", "functional": "PBE", "state": "optimized geometry", "lattice": [[5.818, 0.000, 0.000], [0.000, 5.818, 0.000], [0.000, 0.000, 5.194]], "species": ["I", "I", "Na", "Te", "V"], "fractional_positions": [[0.000, 0.500, 0.000], [0.500, 0.000, 0.000], [0.500, 0.500, 0.500], [0.000, 0.000, 0.500], [0.000, 0.000, 0.000]], "m_tot_mub_per_fu": 2.0, "space_group": "P4/mmm", "dos_at_fermi_per_ev_cell": 2.0, "crystal_system": "tetragonal"}

***

Winner for stability: run ii